A) Below is a geometry-optimized Cs2Tl3Pb2 structure, with properties calculated at the GGA-PBE level.

Structure (POSCAR):
```
Cs2Tl3Pb2
1.0
-1.1290 5.0729 -0.7195
0.5469 -3.5448 -6.7226
-7.2842 -0.9711 4.5832
Tl Pb Cs
3 2 2
direct
0.4060 0.8120 0.5694 Tl
0.5940 0.1880 0.4306 Tl
0.5000 0.0000 0.0000 Tl
0.8499 0.6997 0.7259 Pb
0.1501 0.3003 0.2741 Pb
0.1528 0.3056 0.7869 Cs
0.8472 0.6944 0.2131 Cs
```

Properties
N(E_F) in states/eV per cell: 4.086
SG: C2/m

---

B) Below is a geometry-optimized Cs2Tl3Pb2 structure, with properties calculated at the GGA-PBE level.

Structure (POSCAR):
```
Cs2Tl3Pb2
1.0
-2.5143 1.2923 4.6273
-2.9884 -7.0686 3.5275
5.0089 0.7826 5.6803
Pb Cs Tl
2 2 3
direct
0.8006 0.3839 0.0150 Pb
0.1994 0.6161 0.9850 Pb
0.4092 0.8037 0.3779 Cs
0.5908 0.1963 0.6221 Cs
0.8112 0.6641 0.7135 Tl
0.1888 0.3359 0.2865 Tl
0.0000 0.0000 0.0000 Tl
```

Properties
N(E_F) in states/eV per cell: 3.697
SG: C2/m

---

Which one sits at the top of the stability order? A) does.

---

A) Below is a geometry-optimized Cs2Tl7Pb structure, with properties calculated at the GGA-PBE level.

Structure (POSCAR):
```
Cs2Tl7Pb
1.0
8.7698 0.0000 0.0000
4.3849 7.5949 0.0000
4.3849 2.5316 7.1606
Tl Cs Pb
7 2 1
direct
0.2492 0.7508 0.2492 Tl
0.5000 0.5000 0.5000 Tl
0.2492 0.7508 0.7508 Tl
0.2492 0.2492 0.7508 Tl
0.7508 0.2492 0.7508 Tl
0.7508 0.2492 0.2492 Tl
0.7508 0.7508 0.2492 Tl
0.2500 0.2500 0.2500 Cs
0.7500 0.7500 0.7500 Cs
0.0000 0.0000 0.0000 Pb
```

Properties
N(E_F) in states/eV per cell: 6.530
SG: Fm-3m

---

B) Below is a geometry-optimized Cs2Tl7Pb structure, with properties calculated at the GGA-PBE level.

Structure (POSCAR):
```
Cs2Tl7Pb
1.0
5.3945 0.0000 0.0000
0.0000 5.3945 0.0000
0.0000 0.0000 13.1884
Cs Tl Pb
2 7 1
direct
0.0000 0.5000 0.2489 Cs
0.5000 0.0000 0.7511 Cs
0.0000 0.0000 0.5000 Tl
0.5000 0.0000 0.3708 Tl
0.5000 0.0000 0.1342 Tl
0.0000 0.0000 0.0000 Tl
0.5000 0.5000 0.5000 Tl
0.0000 0.5000 0.6292 Tl
0.0000 0.5000 0.8658 Tl
0.5000 0.5000 0.0000 Pb
```

Properties
N(E_F) in states/eV per cell: 5.772
SG: P-4m2

---

Which one sits at the top of the stability order? B) does.

---

A) Below is a geometry-optimized CsTmPb structure, with properties calculated at the GGA-PBE level.

Structure (POSCAR):
```
CsTmPb
1.0
-3.6283 1.1239 1.9786
-2.2614 -2.1954 -2.8998
3.8257 -11.6417 8.9930
Tm Cs Pb
2 2 2
direct
0.7149 0.7149 0.4298 Tm
0.2851 0.2851 0.5702 Tm
0.5861 0.5861 0.1722 Cs
0.4139 0.4139 0.8278 Cs
0.1791 0.1791 0.3581 Pb
0.8209 0.8209 0.6419 Pb
```

Properties
N(E_F) in states/eV per cell: 4.719
SG: I4/mmm

---

B) Below is a geometry-optimized CsTmPb structure, with properties calculated at the GGA-PBE level.

Structure (POSCAR):
```
CsTmPb
1.0
-4.1819 -0.9421 0.4332
1.0030 -3.2184 2.6832
1.1447 6.6536 4.0936
Tm Pb Cs
1 1 1
direct
0.2649 0.2649 0.5298 Tm
0.7289 0.7289 0.4579 Pb
0.0062 0.0062 0.0124 Cs
```

Properties
N(E_F) in states/eV per cell: 1.795
SG: I4mm

---

Which one sits at the top of the stability order? A) does.

---

A) Below is a geometry-optimized CsTmPb2 structure, with properties calculated at the GGA-PBE level.

Structure (POSCAR):
```
CsTmPb2
1.0
-2.8832 -2.4546 0.5426
-0.1367 -2.1164 3.1834
-6.9327 6.5705 6.3686
Tm Pb Cs
1 2 1
direct
0.0000 0.0000 0.0000 Tm
0.2614 0.2614 0.2159 Pb
0.7386 0.7386 0.7841 Pb
0.5000 0.5000 0.5000 Cs
```

Properties
N(E_F) in states/eV per cell: 1.695
SG: R-3m

---

B) Below is a geometry-optimized CsTmPb2 structure, with properties calculated at the GGA-PBE level.

Structure (POSCAR):
```
CsTmPb2
1.0
4.1096 0.0000 0.0000
0.0000 4.1096 0.0000
0.0000 0.0000 8.6884
Cs Pb Tm
1 2 1
direct
0.5000 0.5000 0.5000 Cs
0.0000 0.0000 0.1800 Pb
0.0000 0.0000 0.8200 Pb
0.5000 0.5000 0.0000 Tm
```

Properties
N(E_F) in states/eV per cell: 1.411
SG: P4/mmm

---

Which one sits at the top of the stability order? B) does.

---

A) Below is a geometry-optimized CsPbW3 structure, with properties calculated at the GGA-PBE level.

Structure (POSCAR):
```
CsPbW3
1.0
5.2393 0.0000 0.0000
0.0000 5.2393 0.0000
0.0000 0.0000 5.2393
Pb W Cs
1 3 1
direct
0.0000 0.0000 0.0000 Pb
0.0000 0.5000 0.0000 W
0.0000 0.0000 0.5000 W
0.5000 0.0000 0.0000 W
0.5000 0.5000 0.5000 Cs
```

Properties
N(E_F) in states/eV per cell: 9.611
SG: Pm-3m

---

B) Below is a geometry-optimized CsPbW3 structure, with properties calculated at the GGA-PBE level.

Structure (POSCAR):
```
CsPbW3
1.0
-0.1104 3.2526 3.8243
1.0291 -3.7294 3.2015
4.9138 0.8541 -0.5846
Pb W Cs
1 3 1
direct
0.5000 0.5000 0.5000 Pb
0.5000 0.0000 0.0000 W
0.0000 0.5000 0.0000 W
0.0000 0.0000 0.5000 W
0.0000 0.0000 0.0000 Cs
```

Properties
N(E_F) in states/eV per cell: 8.072
SG: Pm-3m

---

Which one sits at the top of the stability order? A) does.

---

A) Below is a geometry-optimized CsYPb3 structure, with properties calculated at the GGA-PBE level.

Structure (POSCAR):
```
CsYPb3
1.0
-1.0970 4.2258 4.1602
-5.5313 0.7958 -2.2670
-2.1375 -4.2282 3.7312
Pb Y Cs
3 1 1
direct
0.5000 0.0000 0.0000 Pb
0.0000 0.5000 0.0000 Pb
0.0000 0.0000 0.5000 Pb
0.0000 0.0000 0.0000 Y
0.5000 0.5000 0.5000 Cs
```

Properties
N(E_F) in states/eV per cell: 3.383
SG: Pm-3m

---

B) Below is a geometry-optimized CsYPb3 structure, with properties calculated at the GGA-PBE level.

Structure (POSCAR):
```
CsYPb3
1.0
6.0843 0.0000 0.0000
0.0000 6.0843 0.0000
0.0000 0.0000 6.0843
Cs Y Pb
1 1 3
direct
0.0000 0.0000 0.0000 Cs
0.5000 0.5000 0.5000 Y
0.0000 0.5000 0.0000 Pb
0.5000 0.0000 0.0000 Pb
0.0000 0.0000 0.5000 Pb
```

Properties
N(E_F) in states/eV per cell: 6.896
SG: Pm-3m

---

Which one sits at the top of the stability order? A) does.

---

A) Below is a geometry-optimized Cs2Zn2Pb structure, with properties calculated at the GGA-PBE level.

Structure (POSCAR):
```
Cs2Zn2Pb
1.0
5.3581 0.0000 0.0000
0.0000 5.3581 0.0000
2.6791 2.6791 7.1242
Zn Cs Pb
2 2 1
direct
0.5853 0.5853 0.8294 Zn
0.4147 0.4147 0.1706 Zn
0.7500 0.2500 0.5000 Cs
0.2500 0.7500 0.5000 Cs
0.0000 0.0000 0.0000 Pb
```

Properties
N(E_F) in states/eV per cell: 3.760
SG: I4/mmm

---

B) Below is a geometry-optimized Cs2Zn2Pb structure, with properties calculated at the GGA-PBE level.

Structure (POSCAR):
```
Cs2Zn2Pb
1.0
3.8105 0.0000 0.0000
0.0000 3.8105 0.0000
1.9052 1.9052 12.8347
Zn Pb Cs
2 1 2
direct
0.2500 0.7500 0.5000 Zn
0.7500 0.2500 0.5000 Zn
0.0000 0.0000 0.0000 Pb
0.6153 0.6153 0.7694 Cs
0.3847 0.3847 0.2306 Cs
```

Properties
N(E_F) in states/eV per cell: 2.606
SG: I4/mmm

---

C) Below is a geometry-optimized Cs2Zn2Pb structure, with properties calculated at the GGA-PBE level.

Structure (POSCAR):
```
Cs2Zn2Pb
1.0
7.7774 0.0000 0.0000
0.0000 7.7774 0.0000
0.0000 0.0000 6.1618
Pb Cs Zn
2 4 4
direct
0.0000 0.0000 0.0000 Pb
0.5000 0.5000 0.0000 Pb
0.1796 0.6796 0.5000 Cs
0.6796 0.8204 0.5000 Cs
0.8204 0.3204 0.5000 Cs
0.3204 0.1796 0.5000 Cs
0.1277 0.3723 0.0000 Zn
0.8723 0.6277 0.0000 Zn
0.6277 0.1277 0.0000 Zn
0.3723 0.8723 0.0000 Zn
```

Properties
N(E_F) in states/eV per cell: 3.474
SG: P4/mbm

---

Which one sits at the top of the stability order? C) does.

---

A) Below is a geometry-optimized Cs2ZnPb2 structure, with properties calculated at the GGA-PBE level.

Structure (POSCAR):
```
Cs2ZnPb2
1.0
7.8245 0.0000 0.0000
0.0000 7.8245 0.0000
3.9123 3.9123 4.2931
Pb Cs Zn
2 2 1
direct
0.3321 0.3321 0.3358 Pb
0.6679 0.6679 0.6642 Pb
0.7500 0.2500 0.5000 Cs
0.2500 0.7500 0.5000 Cs
0.0000 0.0000 0.0000 Zn
```

Properties
N(E_F) in states/eV per cell: 3.567
SG: I4/mmm

---

B) Below is a geometry-optimized Cs2ZnPb2 structure, with properties calculated at the GGA-PBE level.

Structure (POSCAR):
```
Cs2ZnPb2
1.0
11.4403 0.0000 0.0000
0.0000 11.4403 0.0000
0.0000 0.0000 3.7643
Pb Zn Cs
4 2 4
direct
0.0913 0.4087 0.0000 Pb
0.9087 0.5913 0.0000 Pb
0.5913 0.0913 0.0000 Pb
0.4087 0.9087 0.0000 Pb
0.0000 0.0000 0.0000 Zn
0.5000 0.5000 0.0000 Zn
0.2031 0.7031 0.5000 Cs
0.7969 0.2969 0.5000 Cs
0.2969 0.2031 0.5000 Cs
0.7031 0.7969 0.5000 Cs
```

Properties
N(E_F) in states/eV per cell: 8.748
SG: P4/mbm

---

Which one sits at the top of the stability order? A) does.

---

A) Below is a geometry-optimized CsZrPb3 structure, with properties calculated at the GGA-PBE level.

Structure (POSCAR):
```
CsZrPb3
1.0
5.7887 0.0000 0.0000
0.0000 5.7887 0.0000
0.0000 0.0000 5.7887
Pb Cs Zr
3 1 1
direct
0.0000 0.0000 0.5000 Pb
0.5000 0.0000 0.0000 Pb
0.0000 0.5000 0.0000 Pb
0.5000 0.5000 0.5000 Cs
0.0000 0.0000 0.0000 Zr
```

Properties
N(E_F) in states/eV per cell: 2.972
SG: Pm-3m

---

B) Below is a geometry-optimized CsZrPb3 structure, with properties calculated at the GGA-PBE level.

Structure (POSCAR):
```
CsZrPb3
1.0
-2.3175 -5.2203 1.8617
3.3003 -2.9209 -4.0823
4.4526 -0.5521 3.9947
Pb Cs Zr
3 1 1
direct
0.5000 0.0000 0.0000 Pb
0.0000 0.0000 0.5000 Pb
0.0000 0.5000 0.0000 Pb
0.0000 0.0000 0.0000 Cs
0.5000 0.5000 0.5000 Zr
```

Properties
N(E_F) in states/eV per cell: 7.138
SG: Pm-3m

---

Which one sits at the top of the stability order? A) does.

---

A) Below is a geometry-optimized CsZrPb2 structure, with properties calculated at the GGA-PBE level.

Structure (POSCAR):
```
CsZrPb2
1.0
-0.7016 -0.5963 5.6049
-1.7397 -4.9691 2.1317
3.5982 -3.2255 2.9853
Zr Pb Cs
1 2 1
direct
0.0000 0.0000 0.0000 Zr
0.7500 0.7500 0.7500 Pb
0.2500 0.2500 0.2500 Pb
0.5000 0.5000 0.5000 Cs
```

Properties
N(E_F) in states/eV per cell: 4.691
SG: Fm-3m

---

B) Below is a geometry-optimized CsZrPb2 structure, with properties calculated at the GGA-PBE level.

Structure (POSCAR):
```
CsZrPb2
1.0
-3.5266 -0.7146 -1.6515
-1.2137 -1.7383 3.3437
-2.9009 7.6085 2.9024
Zr Pb Cs
1 2 1
direct
0.5000 0.5000 0.0000 Zr
0.0000 0.0000 0.8242 Pb
0.0000 0.0000 0.1758 Pb
0.5000 0.5000 0.5000 Cs
```

Properties
N(E_F) in states/eV per cell: 2.980
SG: P4/mmm

---

C) Below is a geometry-optimized CsZrPb2 structure, with properties calculated at the GGA-PBE level.

Structure (POSCAR):
```
CsZrPb2
1.0
-6.0810 -0.4796 -2.8821
2.8388 -2.5441 -5.5663
-2.5722 -10.0856 -0.7906
Zr Pb Cs
2 4 2
direct
0.5000 0.5000 0.0000 Zr
0.2500 0.7500 0.5000 Zr
0.3787 0.1250 0.2500 Pb
0.3750 0.6213 0.7500 Pb
0.3713 0.6250 0.2500 Pb
0.8750 0.6287 0.7500 Pb
0.7500 0.2500 0.5000 Cs
0.0000 0.0000 0.0000 Cs
```

Properties
N(E_F) in states/eV per cell: 3.769
SG: I-42d

---

Which one sits at the top of the stability order? B) does.

---

A) Below is a geometry-optimized Cs2PdPt structure, with properties calculated at the GGA-PBE level.

Structure (POSCAR):
```
Cs2PdPt
1.0
-1.6546 -3.7439 -2.0105
-2.2273 -3.1195 2.4701
-9.3461 2.1591 -1.5010
Pd Cs Pt
1 2 1
direct
0.4690 0.2326 0.8293 Pd
0.8859 0.6480 0.5802 Cs
0.7197 0.4821 0.0785 Cs
0.1357 0.8993 0.8294 Pt
```

Properties
N(E_F) in states/eV per cell: 0.861
SG: R3m

---

B) Below is a geometry-optimized Cs2PdPt structure, with properties calculated at the GGA-PBE level.

Structure (POSCAR):
```
Cs2PdPt
1.0
2.6502 -4.3746 -2.5295
-2.5975 -5.0649 -0.3979
-1.8117 -1.8867 -5.0712
Cs Pd Pt
2 1 1
direct
0.7500 0.7500 0.7500 Cs
0.2500 0.2500 0.2500 Cs
0.0000 0.0000 0.0000 Pd
0.5000 0.5000 0.5000 Pt
```

Properties
N(E_F) in states/eV per cell: 0.004
SG: Fm-3m

---

Which one sits at the top of the stability order? A) does.

---

A) Below is a geometry-optimized CsPdPt2 structure, with properties calculated at the GGA-PBE level.

Structure (POSCAR):
```
CsPdPt2
1.0
5.2100 0.0000 0.0000
0.0000 5.2100 0.0000
2.6050 2.6050 8.8696
Pt Cs Pd
4 2 2
direct
0.3751 0.1250 0.2500 Pt
0.8750 0.6251 0.7500 Pt
0.3749 0.6250 0.2500 Pt
0.3750 0.6249 0.7500 Pt
0.0000 0.0000 0.0000 Cs
0.7500 0.2500 0.5000 Cs
0.5000 0.5000 0.0000 Pd
0.2500 0.7500 0.5000 Pd
```

Properties
N(E_F) in states/eV per cell: 10.003
SG: I4_1/amd

---

B) Below is a geometry-optimized CsPdPt2 structure, with properties calculated at the GGA-PBE level.

Structure (POSCAR):
```
CsPdPt2
1.0
0.0000 3.4524 3.4524
3.4524 0.0000 3.4524
3.4524 3.4524 0.0000
Pt Cs Pd
2 1 1
direct
0.7500 0.7500 0.7500 Pt
0.2500 0.2500 0.2500 Pt
0.5000 0.5000 0.5000 Cs
0.0000 0.0000 0.0000 Pd
```

Properties
N(E_F) in states/eV per cell: 7.861
SG: Fm-3m

---

Which one sits at the top of the stability order? A) does.